First-principles (SCAN) data for YAlBr at its PBEsol-relaxed geometry, as listed in Alexandria.

The structure in CIF format:
```
data_YAlBr
_chemical_formula_sum 'Y1 Al1 Br1'
_symmetry_space_group_name_H-M 'P -6 m 2'
_symmetry_Int_Tables_number 187
_symmetry_space_group_name_Hall 'P -6 2'
_cell_length_a 4.8607
_cell_length_b 4.8607
_cell_length_c 3.5866
_cell_angle_alpha 90.00
_cell_angle_beta 90.00
_cell_angle_gamma 120.00
loop_
_atom_site_label
_atom_site_type_symbol
_atom_site_fract_x
_atom_site_fract_y
_atom_site_fract_z
Y1 Y 0.0000 0.0000 0.0000
Al1 Al 0.6667 0.3333 0.5000
Br1 Br 0.3333 0.6667 0.0000
```

Results
E (eV for the cell shown): -56.25
Crystal system: hexagonal
Formation energy from raw total energies (eV per atom): -0.399